VASP calculation (PBE) on an optimized crystal structure of Tb2SmEr5Tm.

Properties
energy of formation = 0.29 eV/atom

Cell lengths 8.8266, 8.8266, 9.6370 Å; angles 117.26, 117.26, 90.00 degrees
Atoms (fractional coordinates):
Tb: 0.1134 0.3866 0.0000
Tb: 0.6134 0.1134 0.0000
Tb: 0.3866 0.8866 0.0000
Tb: 0.8866 0.6134 0.0000
Sm: 0.2500 0.2500 0.5000
Sm: 0.7500 0.7500 0.5000
Er: 0.9273 0.4273 0.2673
Er: 0.6600 0.1600 0.7327
Er: 0.0727 0.5727 0.7327
Er: 0.1600 0.0727 0.7327
Er: 0.5727 0.6600 0.7327
Er: 0.8400 0.9273 0.2673
Er: 0.4273 0.3400 0.2673
Er: 0.3400 0.8400 0.2673
Er: 0.5000 0.5000 0.0000
Er: 0.0000 0.0000 0.0000
Tm: 0.2500 0.7500 0.5000
Tm: 0.7500 0.2500 0.5000


VASP calculation (PBE) on an optimized crystal structure of Dy4Cu5Ni3.

Properties
energy of formation = -0.06 eV/atom

Cell lengths 4.2787, 7.2100, 8.5720 Å; angles 70.09, 75.55, 72.74 degrees
Atoms (fractional coordinates):
Dy: 0.9588 0.2660 0.8164
Dy: 0.2508 0.8074 0.6911
Dy: 0.7492 0.1926 0.3089
Dy: 0.0412 0.7340 0.1836
Cu: 0.5929 0.9203 0.8939
Cu: 0.5000 0.5000 0.5000
Cu: 0.2836 0.4303 0.0025
Cu: 0.7164 0.5697 0.9975
Cu: 0.4071 0.0797 0.1061
Ni: 0.3921 0.8491 0.3666
Ni: 0.0000 0.5000 0.5000
Ni: 0.6079 0.1509 0.6334


VASP calculation (PBE) on an optimized crystal structure of Mg3TlIn.

Properties
energy of formation = 0.27 eV/atom
energy above the most stable polymorph in this dataset = 252 meV/atom

Cell lengths 5.3747, 5.3747, 5.3747 Å; angles 90.00, 90.00, 90.00 degrees
Atoms (fractional coordinates):
Tl: 0.5000 0.5000 0.5000
Mg: 0.0000 0.5000 0.0000
Mg: 0.0000 0.0000 0.5000
Mg: 0.5000 0.0000 0.0000
In: 0.0000 0.0000 0.0000


VASP calculation (PBE) on an optimized crystal structure of Hf4TcRu2.

Properties
energy of formation = 0.41 eV/atom
energy above the most stable polymorph in this dataset = 872 meV/atom

Cell lengths 4.8077, 4.8077, 7.4364 Å; angles 71.14, 71.14, 90.00 degrees
Atoms (fractional coordinates):
Ru: 0.6184 0.6184 0.7632
Ru: 0.3816 0.3816 0.2368
Hf: 0.8043 0.8043 0.3915
Hf: 0.1957 0.1957 0.6085
Hf: 0.0000 0.5000 0.0000
Hf: 0.5000 0.0000 0.0000
Tc: 0.0000 0.0000 0.0000


VASP calculation (PBE) on an optimized crystal structure of TbNdRu.

Properties
energy of formation = -0.20 eV/atom
energy above the most stable polymorph in this dataset = 45 meV/atom

Cell lengths 4.8613, 4.8613, 4.8613 Å; angles 60.00, 60.00, 60.00 degrees
Atoms (fractional coordinates):
Nd: 0.0000 0.0000 0.0000
Tb: 0.5000 0.5000 0.5000
Ru: 0.2500 0.2500 0.2500


VASP calculation (PBE) on an optimized crystal structure of CaTlRh2.

Properties
energy of formation = -0.10 eV/atom

Cell lengths 5.4126, 5.4126, 5.4126 Å; angles 136.06, 136.06, 63.88 degrees
Atoms (fractional coordinates):
Tl: 0.5000 0.5000 0.0000
Rh: 0.0000 0.0000 0.0000
Rh: 0.2500 0.7500 0.5000
Ca: 0.7500 0.2500 0.5000


VASP calculation (PBE) on an optimized crystal structure of Tb12Cd6Ag.

Properties
energy of formation = -0.10 eV/atom

Cell lengths 8.0825, 8.0825, 8.0825 Å; angles 88.35, 88.35, 88.35 degrees
Atoms (fractional coordinates):
Tb: 0.8037 0.5309 0.4453
Tb: 0.4453 0.8037 0.5309
Tb: 0.5309 0.4453 0.8037
Tb: 0.1963 0.4691 0.5547
Tb: 0.5547 0.1963 0.4691
Tb: 0.4691 0.5547 0.1963
Tb: 0.0180 0.1486 0.3648
Tb: 0.8514 0.6352 0.9820
Tb: 0.6352 0.9820 0.8514
Tb: 0.9820 0.8514 0.6352
Tb: 0.1486 0.3648 0.0180
Tb: 0.3648 0.0180 0.1486
Cd: 0.7348 0.8911 0.2635
Cd: 0.7365 0.2652 0.1089
Cd: 0.1089 0.7365 0.2652
Cd: 0.2652 0.1089 0.7365
Cd: 0.2635 0.7348 0.8911
Cd: 0.8911 0.2635 0.7348
Ag: 0.0000 0.0000 0.0000


VASP calculation (PBE) on an optimized crystal structure of RbCd4Ag.

Properties
energy of formation = 0.07 eV/atom
energy above the most stable polymorph in this dataset = 88 meV/atom

Cell lengths 6.0879, 6.0879, 6.0879 Å; angles 60.00, 60.00, 60.00 degrees
Atoms (fractional coordinates):
Rb: 0.2500 0.2500 0.2500
Ag: 0.0000 0.0000 0.0000
Cd: 0.6263 0.6263 0.1212
Cd: 0.6263 0.1212 0.6263
Cd: 0.6263 0.6263 0.6263
Cd: 0.1212 0.6263 0.6263


Number 1: total energy -77.2 eV/cell. Number 2: total energy -56.9 eV/cell. Number 3: total energy -8.5 eV/cell. Number 4: total energy -65.9 eV/cell. Number 5: total energy -19.3 eV/cell. Number 6: total energy -19.5 eV/cell. Number 7: total energy -65.9 eV/cell. Number 8: total energy -7.1 eV/cell.